1.
Ba2Tl4Hg5: relaxed, PBE.

a b c (Å): 11.937 7.203 9.689
angles (deg): 90.00 122.11 90.00
Space group C2/m (No. 12)
Symmetry-distinct sites (fractional):
Ba  0.084  0.000  0.272
Tl  0.084  0.500  0.368
Tl  0.234  0.500  0.957
Hg  0.000  0.500  0.000
Hg  0.156  0.210  0.659

Summary:
Energy of formation from the pure elements, eV per atom: -0.238
Density of states at the Fermi level, states/eV per cell: 11.9
M_tot, μB/atom: 0.000


2.
Ba2Tl2Hg7: relaxed, PBE.

a b c (Å): 10.508 11.305 5.949
angles (deg): 90.00 102.53 90.00
Space group C2/m (No. 12)
Symmetry-distinct sites (fractional):
Ba  0.234  0.000  0.136
Tl  0.000  0.261  0.000
Hg  0.000  0.000  0.500
Hg  0.076  0.500  0.304
Hg  0.185  0.198  0.672

Summary:
Energy of formation from the pure elements, eV per atom: -0.270
Density of states at the Fermi level, states/eV per cell: 10.8
M_tot, μB/atom: 0.000


3.
Ba8TlHg2: relaxed, PBE.

a b c (Å): 10.772 15.740 6.759
angles (deg): 90.00 106.62 90.00
Space group Cm (No. 8)
Symmetry-distinct sites (fractional):
Ba  0.000  0.000  0.000
Ba  0.053  0.371  0.781
Ba  0.162  0.130  0.605
Ba  0.227  0.500  0.376
Ba  0.360  0.231  0.189
Tl  0.365  0.000  0.082
Hg  0.358  0.316  0.692

Summary:
Energy of formation from the pure elements, eV per atom: -0.209
Offset from the most stable computed form, eV/f.u.: 0.478
Density of states at the Fermi level, states/eV per cell: 28.9
M_tot, μB/atom: 0.000


4.
Ba3Tl6Hg5: relaxed, PBE.

a b c (Å): 5.460 16.094 10.273
angles (deg): 90.00 90.00 90.00
Space group Pmmn (No. 59, origin choice 2)
Symmetry-distinct sites (fractional):
Ba  0.250  0.039  0.245
Ba  0.250  0.750  0.246
Tl  0.250  0.093  0.892
Tl  0.250  0.250  0.078
Tl  0.250  0.250  0.421
Tl  0.250  0.603  0.539
Hg  0.250  0.096  0.605
Hg  0.250  0.605  0.965
Hg  0.250  0.750  0.755

Summary:
Energy of formation from the pure elements, eV per atom: -0.303
Density of states at the Fermi level, states/eV per cell: 16.7
M_tot, μB/atom: 0.000


5.
Ba3Tl7Hg2: relaxed, PBE.

a b c (Å): 6.4846 6.4846 33.4827
angles (deg): 90.00 90.00 120.00
Space group R-3m (No. 166, hexagonal axes)
Symmetry-distinct sites (fractional):
Ba  0.0000  0.0000  0.0000
Ba  0.0000  0.0000  0.1382
Tl  0.0000  0.0000  0.5000
Tl  0.0026  0.5013  0.9183
Hg  0.0000  0.0000  0.3344

Summary:
Energy of formation from the pure elements, eV per atom: -0.262
Offset from the most stable computed form, eV/f.u.: 0.227
Density of states at the Fermi level, states/eV per cell: 25.0
M_tot, μB/atom: 0.000


6.
BaTl2Hg2: relaxed, PBE.

a b c (Å): 9.299 5.403 7.043
angles (deg): 90.00 115.25 90.00
Space group C2/m (No. 12)
Symmetry-distinct sites (fractional):
Ba  0.000  0.000  0.000
Tl  0.208  0.000  0.621
Hg  0.084  0.500  0.748

Summary:
Energy of formation from the pure elements, eV per atom: -0.304
Density of states at the Fermi level, states/eV per cell: 5.0
M_tot, μB/atom: 0.000


Question: Which formula does entry 1 have?
Answer: Ba2Tl4Hg5


Question: Among the records above, which one has the highest energy of formation from the pure elements?
Answer: Ba8TlHg2


Question: What is the M_tot in the third record?
Answer: 0.000 μB/atom